A plane-wave DFT calculation with PBE was carried out for a relaxed structure of Pm3Dy4Pb4.

magnetic moment	0.00	μB/f.u.
formation enthalpy at 0 K	-0.265	eV/atom

a b c (Å): 5.2182 3.7994 17.6051
angles (deg): 96.19 98.52 90.00
Fractional positions:
Pm: 0.3527 0.8527 0.7053
Pm: 0.6473 0.1473 0.2947
Pm: 0.0000 0.0000 0.0000
Dy: 0.2632 0.2632 0.5265
Dy: 0.0942 0.5942 0.1884
Dy: 0.9058 0.4058 0.8116
Dy: 0.7368 0.7368 0.4735
Pb: 0.8160 0.3160 0.6319
Pb: 0.4520 0.4520 0.9040
Pb: 0.5480 0.5480 0.0960
Pb: 0.1840 0.6840 0.3681